No. 1
{
  "formula": "DyGaPt",
  "functional": "GGA-PBE",
  "state": "relaxed",
  "spacegroup": "No. 62",
  "e_tot_ha_per_atom": -0.20853,
  "lattice": [[-4.8189, 4.3017, 2.4706], [-1.7430, 0.3813, -4.0635], [-4.6200, -5.9907, 1.4195]],
  "species": ["Dy", "Dy", "Dy", "Dy", "Ga", "Ga", "Ga", "Ga", "Pt", "Pt", "Pt", "Pt"],
  "frac_coords": [[0.9845, 0.7500, 0.1983], [0.4845, 0.7500, 0.3017], [0.5155, 0.2500, 0.6983], [0.0155, 0.2500, 0.8017], [0.6731, 0.2500, 0.0762], [0.1731, 0.2500, 0.4238], [0.8269, 0.7500, 0.5762], [0.3269, 0.7500, 0.9238], [0.2772, 0.2500, 0.0977], [0.7772, 0.2500, 0.4023], [0.2228, 0.7500, 0.5977], [0.7228, 0.7500, 0.9023]]
}

=====

No. 2
{
  "formula": "Dy2Ga3Pt4",
  "functional": "GGA-PBE",
  "state": "relaxed",
  "spacegroup": "No. 64",
  "e_tot_ha_per_atom": -0.21118,
  "lattice": [[2.8079, -7.6596, 0.0000], [2.8079, 7.6596, 0.0000], [0.0000, 0.0000, 7.5964]],
  "species": ["Dy", "Dy", "Dy", "Dy", "Ga", "Ga", "Ga", "Ga", "Ga", "Ga", "Pt", "Pt", "Pt", "Pt", "Pt", "Pt", "Pt", "Pt"],
  "frac_coords": [[0.1067, 0.8933, 0.0914], [0.6067, 0.3933, 0.4086], [0.3933, 0.6067, 0.5914], [0.8933, 0.1067, 0.9086], [0.5000, 0.5000, 0.0000], [0.0194, 0.4806, 0.2500], [0.5194, 0.9806, 0.2500], [0.0000, 0.0000, 0.5000], [0.4806, 0.0194, 0.7500], [0.9806, 0.5194, 0.7500], [0.6806, 0.3194, 0.0250], [0.1906, 0.3094, 0.2500], [0.6906, 0.8094, 0.2500], [0.1806, 0.8194, 0.4750], [0.8194, 0.1806, 0.5250], [0.3094, 0.1906, 0.7500], [0.8094, 0.6906, 0.7500], [0.3194, 0.6806, 0.9750]]
}

=====

No. 3
{
  "formula": "DyScGa2Pt4",
  "functional": "GGA-PBE",
  "state": "relaxed",
  "spacegroup": "No. 187",
  "e_tot_ha_per_atom": -0.22762,
  "lattice": [[-3.7269, -1.6524, 1.4871], [3.7753, -1.8516, 1.0726], [0.5369, 5.2587, 7.1885]],
  "species": ["Dy", "Ga", "Ga", "Pt", "Pt", "Pt", "Pt", "Sc"],
  "frac_coords": [[0.0000, 0.0000, 0.0000], [0.3333, 0.6667, 0.2544], [0.3333, 0.6667, 0.7456], [0.6667, 0.3333, 0.1706], [0.0000, 0.0000, 0.3449], [0.0000, 0.0000, 0.6551], [0.6667, 0.3333, 0.8294], [0.6667, 0.3333, 0.5000]]
}

=====

No. 4
{
  "formula": "Dy2GaSnPt4",
  "functional": "GGA-PBE",
  "state": "relaxed",
  "spacegroup": "No. 164",
  "e_tot_ha_per_atom": -0.22353,
  "lattice": [[4.4787, 0.0000, 0.0000], [-2.2393, 3.8787, 0.0000], [0.0000, 0.0000, 9.1175]],
  "species": ["Dy", "Dy", "Ga", "Pt", "Pt", "Pt", "Pt", "Sn"],
  "frac_coords": [[0.3333, 0.6667, 0.2557], [0.6667, 0.3333, 0.7443], [0.0000, 0.0000, 0.5000], [0.6667, 0.3333, 0.0941], [0.6667, 0.3333, 0.4176], [0.3333, 0.6667, 0.5824], [0.3333, 0.6667, 0.9059], [0.0000, 0.0000, 0.0000]]
}

=====

No. 5
{
  "formula": "SrDyGa4Pt2",
  "functional": "GGA-PBE",
  "state": "relaxed",
  "spacegroup": "No. 38",
  "e_tot_ha_per_atom": -0.16914,
  "lattice": [[-5.5968, -3.2137, 2.4352], [2.5915, -4.9777, -0.6129], [3.2711, -3.1697, 3.3350]],
  "species": ["Dy", "Ga", "Ga", "Ga", "Ga", "Pt", "Pt", "Sr"],
  "frac_coords": [[0.0000, 0.9190, 0.9190], [0.3003, 0.3642, 0.3642], [0.6997, 0.3642, 0.3642], [0.1904, 0.6369, 0.6369], [0.8096, 0.6369, 0.6369], [0.0000, 0.2061, 0.2061], [0.5000, 0.7937, 0.7937], [0.5000, 0.0790, 0.0790]]
}

=====

No. 6
{
  "formula": "TbDyGa2Pt4",
  "functional": "GGA-PBE",
  "state": "relaxed",
  "spacegroup": "No. 123",
  "relative_energy_mev_per_atom": 180,
  "lattice": [[-4.4075, 1.1525, 1.1823], [-0.7490, -4.3992, 1.4962], [2.0811, 1.7155, 6.0860]],
  "species": ["Dy", "Ga", "Ga", "Pt", "Pt", "Pt", "Pt", "Tb"],
  "frac_coords": [[0.0000, 0.0000, 0.0000], [0.5000, 0.5000, 0.0000], [0.0000, 0.0000, 0.5000], [0.5000, 0.0000, 0.2491], [0.0000, 0.5000, 0.2491], [0.5000, 0.0000, 0.7509], [0.0000, 0.5000, 0.7509], [0.5000, 0.5000, 0.5000]]
}

=====

No. 7
{
  "formula": "TbDyGa2Pt4",
  "functional": "GGA-PBE",
  "state": "relaxed",
  "spacegroup": "No. 187",
  "relative_energy_mev_per_atom": 0,
  "lattice": [[4.3907, 0.0000, 0.0000], [-2.1954, 3.8025, 0.0000], [0.0000, 0.0000, 9.1237]],
  "species": ["Dy", "Ga", "Ga", "Pt", "Pt", "Pt", "Pt", "Tb"],
  "frac_coords": [[0.0000, 0.0000, 0.5000], [0.6667, 0.3333, 0.2502], [0.6667, 0.3333, 0.7498], [0.0000, 0.0000, 0.1657], [0.3333, 0.6667, 0.3358], [0.3333, 0.6667, 0.6642], [0.0000, 0.0000, 0.8343], [0.3333, 0.6667, 0.0000]]
}

=====

No. 8
{
  "formula": "Dy2TmGa4Pt",
  "functional": "GGA-PBE",
  "state": "relaxed",
  "spacegroup": "No. 38",
  "e_tot_ha_per_atom": -0.16861,
  "lattice": [[6.4434, 0.0000, 0.0000], [0.0000, 1.9498, 6.7200], [0.0000, -1.9498, 6.7200]],
  "species": ["Dy", "Dy", "Ga", "Ga", "Ga", "Ga", "Pt", "Tm"],
  "frac_coords": [[0.0000, 0.2684, 0.2684], [0.5000, 0.7300, 0.7300], [0.2626, 0.0950, 0.0950], [0.7374, 0.0950, 0.0950], [0.1924, 0.9065, 0.9065], [0.8076, 0.9065, 0.9065], [0.0000, 0.5388, 0.5388], [0.5000, 0.4599, 0.4599]]
}

=====

No. 9
{
  "formula": "DyY2Ga4Pt",
  "functional": "GGA-PBE",
  "state": "relaxed",
  "spacegroup": "No. 38",
  "e_tot_ha_per_atom": -0.18635,
  "lattice": [[-3.4837, 1.7529, -5.3343], [-3.7093, 3.4330, 3.5506], [-0.2805, 5.8053, 2.0909]],
  "species": ["Dy", "Ga", "Ga", "Ga", "Ga", "Pt", "Y", "Y"],
  "frac_coords": [[0.0000, 0.2838, 0.2838], [0.3158, 0.1130, 0.1130], [0.6842, 0.1130, 0.1130], [0.2094, 0.8910, 0.8910], [0.7906, 0.8910, 0.8910], [0.5000, 0.7129, 0.7129], [0.5000, 0.4284, 0.4284], [0.0000, 0.5671, 0.5671]]
}

=====

No. 10
{
  "formula": "Dy2YGa4Pt",
  "functional": "GGA-PBE",
  "state": "relaxed",
  "spacegroup": "No. 38",
  "e_tot_ha_per_atom": -0.17791,
  "lattice": [[-1.4180, 5.8252, 2.4558], [-1.1731, -2.9218, 6.2533], [2.6306, -1.9663, 6.1831]],
  "species": ["Dy", "Dy", "Ga", "Ga", "Ga", "Ga", "Pt", "Y"],
  "frac_coords": [[0.5000, 0.2693, 0.2693], [0.0000, 0.7294, 0.7294], [0.2412, 0.0954, 0.0954], [0.7588, 0.0954, 0.0954], [0.3090, 0.9063, 0.9063], [0.6910, 0.9063, 0.9063], [0.5000, 0.5375, 0.5375], [0.0000, 0.4604, 0.4604]]
}

=====

No. 11
{
  "formula": "DyZnGa2Pt4",
  "functional": "GGA-PBE",
  "state": "relaxed",
  "spacegroup": "No. 123",
  "e_tot_ha_per_atom": -0.19137,
  "lattice": [[4.4837, 0.0000, 0.0000], [0.0000, 4.4837, 0.0000], [0.0000, 0.0000, 6.6125]],
  "species": ["Dy", "Ga", "Ga", "Pt", "Pt", "Pt", "Pt", "Zn"],
  "frac_coords": [[0.0000, 0.0000, 0.0000], [0.5000, 0.5000, 0.0000], [0.0000, 0.0000, 0.5000], [0.5000, 0.0000, 0.2752], [0.0000, 0.5000, 0.2752], [0.5000, 0.0000, 0.7248], [0.0000, 0.5000, 0.7248], [0.5000, 0.5000, 0.5000]]
}

=====

No. 12
{
  "formula": "DyPuGa6",
  "functional": "GGA-PBE",
  "state": "relaxed",
  "spacegroup": "No. 187",
  "e_tot_ha_per_atom": -0.18745,
  "lattice": [[4.6056, 0.0000, 0.0000], [0.0000, 3.1048, 5.3754], [0.0000, -3.1048, 5.3754]],
  "species": ["Dy", "Ga", "Ga", "Ga", "Ga", "Ga", "Ga", "Pu"],
  "frac_coords": [[0.0000, 0.0834, 0.0834], [0.0000, 0.5986, 0.0529], [0.5000, 0.9008, 0.4480], [0.0000, 0.5983, 0.5983], [0.0000, 0.0529, 0.5986], [0.5000, 0.4480, 0.9008], [0.5000, 0.9011, 0.9011], [0.5000, 0.4165, 0.4165]]
}